No. 1
A relaxed Cr2CuP crystal. Source: Alexandria via LeMat-Bulk, functional GGA-PBEsol.

Results
D(E_F), states/eV/atom: 1.0634
Crystal system: tetragonal
Energy, eV/atom: -7.651
Total moment, μB/cell: 0.00

Geometry as CIF:
```
data_Cr2CuP
_cell_length_a 2.757
_cell_length_b 2.757
_cell_length_c 5.904
_cell_angle_alpha 90.00
_cell_angle_beta 90.00
_cell_angle_gamma 90.00
_space_group_name_H-M_alt 'P 4/m m m'
_space_group_IT_number 123
_space_group_name_Hall '-P 4 2'
loop_
_atom_site_label
_atom_site_fract_x
_atom_site_fract_y
_atom_site_fract_z
_atom_site_occupancy
Cr1 0.000 0.000 0.222 1
Cu1 0.500 0.500 0.500 1
P1 0.500 0.500 0.000 1
```

***

No. 2
A relaxed MnCd2Pt crystal. Source: Alexandria via LeMat-Bulk, functional GGA-PBEsol.

Results
D(E_F), states/eV/atom: 0.4417
Crystal system: tetragonal
Energy, eV/atom: -4.830
Total moment, μB/cell: 3.87

Geometry as CIF:
```
data_MnCd2Pt
_cell_length_a 2.960
_cell_length_b 2.960
_cell_length_c 7.769
_cell_angle_alpha 90.00
_cell_angle_beta 90.00
_cell_angle_gamma 90.00
_space_group_name_H-M_alt 'P 4 m m'
_space_group_IT_number 99
loop_
_space_group_symop_operation_xyz
'x,y,z'
'-y,x,z'
'-x,-y,z'
'y,-x,z'
'-x,y,z'
'y,x,z'
'x,-y,z'
'-y,-x,z'
loop_
_atom_site_label
_atom_site_fract_x
_atom_site_fract_y
_atom_site_fract_z
_atom_site_occupancy
Mn1 0.000 0.000 0.000 1
Cd1 0.000 0.000 0.455 1
Cd2 0.500 0.500 0.749 1
Pt1 0.500 0.500 0.202 1
```

***

No. 3
A relaxed Tl2SeCl crystal. Source: Alexandria via LeMat-Bulk, functional GGA-PBEsol.

Results
D(E_F), states/eV/atom: 0.5017
Crystal system: tetragonal
Energy, eV/atom: -3.303
Total moment, μB/cell: 0.00

Geometry as CIF:
```
data_Tl2SeCl
_cell_length_a 4.282
_cell_length_b 4.282
_cell_length_c 6.149
_cell_angle_alpha 90.00
_cell_angle_beta 90.00
_cell_angle_gamma 90.00
_space_group_name_H-M_alt 'P 4/m m m'
_space_group_IT_number 123
_space_group_name_Hall '-P 4 2'
loop_
_atom_site_label
_atom_site_fract_x
_atom_site_fract_y
_atom_site_fract_z
_atom_site_occupancy
Tl1 0.000 0.000 0.000 1
Tl2 0.500 0.500 0.500 1
Se1 0.000 0.000 0.500 1
Cl1 0.500 0.500 0.000 1
```

***

No. 4
A relaxed Gd2Ti12Cu9O36 crystal. Source: Alexandria via LeMat-Bulk, functional GGA-PBEsol.

Results
D(E_F), states/eV/atom: 0.1531
Crystal system: trigonal
Energy, eV/atom: -8.371
Total moment, μB/cell: 22.80

Geometry as CIF:
```
data_Gd2Ti12Cu9O36
_cell_length_a 10.4006
_cell_length_b 10.4006
_cell_length_c 6.3884
_cell_angle_alpha 90.00
_cell_angle_beta 90.00
_cell_angle_gamma 120.00
_space_group_name_H-M_alt 'P -3'
_space_group_IT_number 147
loop_
_space_group_symop_operation_xyz
'x,y,z'
'-x,-y,-z'
'-y,x-y,z'
'y,-x+y,-z'
'-x+y,-x,z'
'x-y,x,-z'
loop_
_atom_site_label
_atom_site_fract_x
_atom_site_fract_y
_atom_site_fract_z
_atom_site_occupancy
Gd1 0.3333 0.6667 0.1713 1
Ti1 0.0000 0.0000 0.0000 1
Ti2 0.0000 0.5000 0.0000 1
Ti3 0.1577 0.3189 0.3378 1
Ti4 0.3333 0.6667 0.6602 1
Cu1 0.0000 0.5000 0.5000 1
Cu2 0.1684 0.3369 0.8396 1
O1 0.0153 0.1647 0.1694 1
O2 0.0454 0.2700 0.5912 1
O3 0.0745 0.4495 0.2510 1
O4 0.1182 0.7076 0.0873 1
O5 0.1764 0.5263 0.8539 1
O6 0.1915 0.6828 0.4841 1
```